The following is a PBE-GGA calculation of a geometry-optimized Ti2BiS2 structure, from Alexandria via LeMat-Bulk.

a b c (Å): 4.095 4.095 11.701
angles (deg): 90.00 90.00 90.00
Space group I4/mmm (No. 139)
One atom of each set of equivalent atoms:
Ti  0.000  0.000  0.134
Bi  0.000  0.000  0.500
S  0.000  0.500  0.250

Properties
DFT total energy in eV per atom: -6.225
Formation energy (no corrections) in meV per atom: -640
Density in g/cm3: 6.2